First-principles (PBE) data for AlRu after structural relaxation, as listed in Alexandria via LeMat-Bulk.

As for the total DFT energy (no corrections): -6.499 eV/atom. For the volume, the calculation gives 119.9 Å³ per cell.

The space group is P6_3/mmc (No. 194) and the conventional cell measures 4.2755, 4.2755 and 7.5766 Å, with angles of 90.00, 90.00 and 120.00 degrees. The asymmetric unit holds Al at (0.0000, 0.0000, 0.2500), Al at (0.3333, 0.6667, 0.2500) and Ru at (0.3333, 0.6667, 0.5821).